# 1
5
Lattice="-0.022 -4.088 -2.646 1.685 -2.951 4.545 -4.650 -0.768 1.225" Properties=species:S:1:pos:R:3 comment="BaMg2CuOs, optimized geometry, DFT GGA-PBE" e_tot_ev_per_atom=-3.11 formation_enthalpy_0k_ev_per_atom=0.98 dos_at_fermi_per_ev_fu=4.64 total_magnetization_mub_per_cell=1.7 pbc="T T T"
Mg -2.325 -0.384 0.612
Mg -0.011 -2.044 -1.323
Os -1.493 -3.903 1.562
Ba 0.842 -1.475 2.273
Cu 0.000 0.000 0.000

# 2
6
Lattice="-2.961 -0.527 2.779 0.700 -2.888 -2.818 5.157 -3.469 4.837" Properties=species:S:1:pos:R:3 comment="BaMgCu2P2, optimized geometry, DFT GGA-PBE" e_tot_ev_per_atom=-4.34 formation_enthalpy_0k_ev_per_atom=-0.59 dos_at_fermi_per_ev_fu=0.52 total_magnetization_mub_per_cell=0.0 pbc="T T T"
Ba 0.000 0.000 0.000
Mg 2.578 -1.735 2.418
Cu 1.752 -3.663 4.189
Cu 1.144 -3.220 0.609
P -0.255 -2.313 2.307
P 3.151 -4.570 2.491

# 3
10
Lattice="4.761 0.000 0.000 0.000 4.761 0.000 0.000 0.000 11.247" Properties=species:S:1:pos:R:3 comment="Ba2MgCu3Sb4, optimized geometry, DFT GGA-PBE" e_tot_ev_per_atom=-3.96 formation_energy_uncorrected_mev_per_atom=-534 dos_at_fermi_per_ev_fu=2.30 total_magnetization_mub_per_cell=0.0 pbc="T T T"
Ba 2.381 0.000 2.745
Ba 0.000 2.381 8.501
Mg 2.381 2.381 5.623
Cu 0.000 0.000 5.623
Cu 2.381 0.000 9.880
Cu 0.000 2.381 1.367
Sb 2.381 2.381 0.000
Sb 0.000 0.000 0.000
Sb 2.381 0.000 7.204
Sb 0.000 2.381 4.042

# 4
6
Lattice="4.213 0.000 0.000 -2.106 3.648 0.000 0.000 0.000 7.767" Properties=species:S:1:pos:R:3 comment="BaMgCu2Si2, optimized geometry, DFT GGA-PBE" e_tot_ev_per_atom=-4.02 formation_energy_uncorrected_mev_per_atom=-262 dos_at_fermi_per_ev_fu=4.01 total_magnetization_mub_per_cell=0.0 pbc="T T T"
Ba 0.000 0.000 0.000
Mg 0.000 0.000 3.884
Cu 2.106 1.216 2.704
Cu 0.000 2.432 5.063
Si 2.106 1.216 5.397
Si 0.000 2.432 2.370

Copy entry 3 word for word.
10
Lattice="4.761 0.000 0.000 0.000 4.761 0.000 0.000 0.000 11.247" Properties=species:S:1:pos:R:3 comment="Ba2MgCu3Sb4, optimized geometry, DFT GGA-PBE" e_tot_ev_per_atom=-3.96 formation_energy_uncorrected_mev_per_atom=-534 dos_at_fermi_per_ev_fu=2.30 total_magnetization_mub_per_cell=0.0 pbc="T T T"
Ba 2.381 0.000 2.745
Ba 0.000 2.381 8.501
Mg 2.381 2.381 5.623
Cu 0.000 0.000 5.623
Cu 2.381 0.000 9.880
Cu 0.000 2.381 1.367
Sb 2.381 2.381 0.000
Sb 0.000 0.000 0.000
Sb 2.381 0.000 7.204
Sb 0.000 2.381 4.042

Repeat the third record exactly.
10
Lattice="4.761 0.000 0.000 0.000 4.761 0.000 0.000 0.000 11.247" Properties=species:S:1:pos:R:3 comment="Ba2MgCu3Sb4, optimized geometry, DFT GGA-PBE" e_tot_ev_per_atom=-3.96 formation_energy_uncorrected_mev_per_atom=-534 dos_at_fermi_per_ev_fu=2.30 total_magnetization_mub_per_cell=0.0 pbc="T T T"
Ba 2.381 0.000 2.745
Ba 0.000 2.381 8.501
Mg 2.381 2.381 5.623
Cu 0.000 0.000 5.623
Cu 2.381 0.000 9.880
Cu 0.000 2.381 1.367
Sb 2.381 2.381 0.000
Sb 0.000 0.000 0.000
Sb 2.381 0.000 7.204
Sb 0.000 2.381 4.042